DFT (GGA-PBEsol) results for a relaxed structure of CdTeBrN2.

Computed properties:
As for the formation energy without anion corrections: 1.60 eV per atom. The total energy comes out at -3.132 eV/atom.

Unit cell a=4.306 b=4.306 c=6.187 alpha=90.00 beta=90.00 gamma=90.00
Space group P4/mmm (No. 123)
Symmetry-distinct sites (fractional):
Cd (0.000, 0.000, 0.000) (multiplicity 1)
Te (0.000, 0.000, 0.500) (multiplicity 1)
Br (0.500, 0.500, 0.500) (multiplicity 1)
N (0.000, 0.500, 0.000) (multiplicity 2)